Tm5SiTe4: relaxed, GGA-PBE.

- Formation energy from raw total energies: -1177 meV/atom
- DFT total energy: -5.212 eV per atom

a b c (Å): 5.9899 7.4100 7.4100
angles (deg): 80.60 66.16 66.16
Fractional coordinates of all 10 atoms:
Tm (0.9052, 0.3649, 0.8270)
Tm (0.2700, 0.8270, 0.6351)
Tm (0.7321, 0.1730, 0.3649)
Tm (0.0970, 0.6351, 0.1730)
Tm (0.5007, 0.0000, 0.0000)
Si (0.0008, 0.0000, 0.0000)
Te (0.4105, 0.3982, 0.7831)
Te (0.8087, 0.7831, 0.6018)
Te (0.1935, 0.2169, 0.3982)
Te (0.5917, 0.6018, 0.2169)



BeCu2Se: relaxed, GGA-PBE.

- E above lowest polymorph: 288 meV per atom
- Formation energy from raw total energies: 363 meV/atom
- DFT total energy: -3.488 eV per atom

a b c (Å): 4.2630 4.2630 4.2630
angles (deg): 60.00 60.00 60.00
Fractional coordinates of all 4 atoms:
Be (0.5000, 0.5000, 0.5000)
Cu (0.0000, 0.0000, 0.0000)
Cu (0.2500, 0.2500, 0.2500)
Se (0.7500, 0.7500, 0.7500)



HfAlSi: relaxed, GGA-PBE.

- Formation energy from raw total energies: -454 meV/atom
- DFT total energy: -6.827 eV per atom

a b c (Å): 6.5617 3.8566 9.6993
angles (deg): 90.00 125.12 90.00
Fractional coordinates of all 12 atoms:
Si (0.3243, 0.0000, 0.3566)
Si (0.6757, 0.0000, 0.6434)
Si (0.3243, 0.5000, 0.8566)
Si (0.6757, 0.5000, 0.1434)
Hf (0.6772, 0.0000, 0.9290)
Hf (0.3228, 0.0000, 0.0710)
Hf (0.6772, 0.5000, 0.4290)
Hf (0.3228, 0.5000, 0.5710)
Al (0.0840, 0.0000, 0.6616)
Al (0.9160, 0.0000, 0.3384)
Al (0.0840, 0.5000, 0.1616)
Al (0.9160, 0.5000, 0.8384)



Re2IBr: relaxed, GGA-PBE.

- E above lowest polymorph: 0 meV per atom
- Formation energy from raw total energies: 1386 meV/atom
- DFT total energy: -5.644 eV per atom

a b c (Å): 4.5541 4.5541 8.7168
angles (deg): 74.86 74.86 90.00
Fractional coordinates of all 8 atoms:
I (0.0000, 0.0000, 0.0000)
I (0.7500, 0.2500, 0.5000)
Re (0.5372, 0.1250, 0.2500)
Re (0.2128, 0.6250, 0.2500)
Re (0.3750, 0.4628, 0.7500)
Re (0.8750, 0.7872, 0.7500)
Br (0.5000, 0.5000, 0.0000)
Br (0.2500, 0.7500, 0.5000)